Entry 1:
The following is a DFT calculation (PBE) of a relaxed TaCBr2 crystal.

Unit cell a=6.9843 b=6.9843 c=5.7942 alpha=52.94 beta=52.94 gamma=90.00
Closest atoms and distances in Å follow each position.
Positions (direct):
1 C 0.5000 0.5000 0.0000  4 Br 2.56
2 C 0.2500 0.7500 0.5000  4 Br 2.56
3 Br 0.6195 0.1250 0.2500  2 C 2.56, 2 Ta 2.61
4 Br 0.1305 0.6250 0.2500  2 C 2.56, 2 Ta 2.61
5 Br 0.3750 0.3805 0.7500  2 C 2.56, 2 Ta 2.61
6 Br 0.8750 0.8695 0.7500  2 C 2.56, 2 Ta 2.61
7 Ta 0.0000 0.0000 0.0000  4 Br 2.61
8 Ta 0.7500 0.2500 0.5000  4 Br 2.61

Values from the calculation:
ΔE_f (raw) ... 1.8279 eV per atom
Density ... 7.93 g/cm³
Polymorph energy (0 for the lowest one) ... 0.232 eV per atom

Entry 2:
The following is a DFT calculation (PBE) of a relaxed SrZnInNi crystal.

Unit cell a=4.5663 b=4.5663 c=5.6095 alpha=90.00 beta=90.00 gamma=120.00
Closest atoms and distances in Å follow each position.
Positions (direct):
1 Sr 0.6667 0.3333 0.0180  2 Ni 2.78-2.82
2 Zn 0.0000 0.0000 0.4829  3 Ni 2.64, 3 In 2.66
3 In 0.3333 0.6667 0.5474  3 Ni 2.64, 3 Zn 2.66
4 Ni 0.6667 0.3333 0.5145  3 Zn 2.64, 3 In 2.64, 2 Sr 2.78-2.82

Values from the calculation:
Density ... 5.35 g/cm³
Polymorph energy (0 for the lowest one) ... 0.040 eV per atom
Energy relative to the elements ... -0.767 eV/f.u.

Entry 3:
The following is a DFT calculation (PBE) of a relaxed Ti2AgSb2 crystal.

Unit cell a=7.4971 b=7.4971 c=3.6607 alpha=90.00 beta=90.00 gamma=90.00
Closest atoms and distances in Å follow each position.
Positions (direct):
1 Sb 0.1613 0.6613 0.5000  6 Ti 2.83-2.88
2 Sb 0.6613 0.8387 0.5000  6 Ti 2.83-2.88
3 Sb 0.8387 0.3387 0.5000  6 Ti 2.83-2.88
4 Sb 0.3387 0.1613 0.5000  6 Ti 2.83-2.88
5 Ag 0.0000 0.0000 0.0000  4 Ti 2.92
6 Ag 0.5000 0.5000 0.0000  4 Ti 2.92
7 Ti 0.3652 0.8652 0.0000  6 Sb 2.83-2.88, 1 Ti 2.86, 2 Ag 2.92
8 Ti 0.8652 0.6348 0.0000  6 Sb 2.83-2.88, 1 Ti 2.86, 2 Ag 2.92
9 Ti 0.6348 0.1348 0.0000  6 Sb 2.83-2.88, 1 Ti 2.86, 2 Ag 2.92
10 Ti 0.1348 0.3652 0.0000  6 Sb 2.83-2.88, 1 Ti 2.86, 2 Ag 2.92

Values from the calculation:
ΔE_f (raw) ... -0.2131 eV per atom
Density ... 7.22 g/cm³
Polymorph energy (0 for the lowest one) ... 0.000 eV per atom

Entry 4:
The following is a DFT calculation (PBE) of a relaxed Mg3Tl6In crystal.

Unit cell a=6.1474 b=10.6295 c=10.6295 alpha=126.42 beta=90.00 gamma=90.00
Closest atoms and distances in Å follow each position.
Positions (direct):
1 Mg 0.3851 0.9370 0.6988  1 In 2.96, 4 Tl 3.11-3.30
2 Mg 0.8851 0.6988 0.9370  1 In 2.96, 4 Tl 3.11-3.30
3 Mg 0.1856 0.3941 0.6059  1 In 2.98, 5 Tl 3.06-3.19
4 Mg 0.6856 0.6059 0.3941  1 In 2.98, 5 Tl 3.06-3.19
5 Mg 0.8851 0.0630 0.3012  1 In 2.96, 4 Tl 3.11-3.30
6 Mg 0.3851 0.3012 0.0630  1 In 2.96, 4 Tl 3.11-3.30
7 Tl 0.0287 0.7075 0.6571  4 Mg 3.11-3.19, 5 Tl 3.22-3.47
8 Tl 0.5287 0.6571 0.7075  4 Mg 3.11-3.19, 5 Tl 3.22-3.47
9 Tl 0.3594 0.6139 0.9914  3 Mg 3.20-3.49, 2 In 3.26-3.28, 3 Tl 3.41-3.51
10 Tl 0.8594 0.9914 0.6139  3 Mg 3.20-3.49, 2 In 3.26-3.28, 3 Tl 3.41-3.51
11 Tl 0.2615 0.9637 0.0363  4 Mg 3.30-3.51, 8 Tl 3.37-3.56
12 Tl 0.7253 0.3321 0.6679  3 Mg 3.06-3.33, 1 In 3.32, 2 Tl 3.41
13 Tl 0.2253 0.6679 0.3321  3 Mg 3.06-3.33, 1 In 3.32, 2 Tl 3.41
14 Tl 0.7615 0.0363 0.9637  4 Mg 3.30-3.51, 8 Tl 3.37-3.56
15 Tl 0.3594 0.0086 0.3861  3 Mg 3.20-3.49, 2 In 3.26-3.28, 3 Tl 3.41-3.51
16 Tl 0.8594 0.3861 0.0086  3 Mg 3.20-3.49, 2 In 3.26-3.28, 3 Tl 3.41-3.51
17 Tl 0.0287 0.3429 0.2925  4 Mg 3.11-3.19, 5 Tl 3.22-3.47
18 Tl 0.5287 0.2925 0.3429  4 Mg 3.11-3.19, 5 Tl 3.22-3.47
19 In 0.2667 0.2394 0.7606  3 Mg 2.96-2.98, 4 Tl 3.26-3.28
20 In 0.7667 0.7606 0.2394  3 Mg 2.96-2.98, 4 Tl 3.26-3.28

Values from the calculation:
Density ... 8.40 g/cm³
Energy relative to the elements ... 0.305 eV/f.u.

Entry 5:
The following is a DFT calculation (PBE) of a relaxed Cs3NaAg2H6 crystal.

Unit cell a=6.5303 b=6.5303 c=7.7279 alpha=90.00 beta=90.00 gamma=120.00
Closest atoms and distances in Å follow each position.
Positions (direct):
1 Cs 0.3333 0.6667 0.7118  6 H 3.27, 1 Ag 3.31
2 Cs 0.6667 0.3333 0.2882  6 H 3.27, 1 Ag 3.31
3 Cs 0.0000 0.0000 0.0000  6 H 3.01
4 Na 0.0000 0.0000 0.5000  6 H 2.52
5 Ag 0.6667 0.3333 0.7165  3 H 1.81
6 Ag 0.3333 0.6667 0.2835  3 H 1.81
7 H 0.6523 0.8261 0.2952  1 Ag 1.81
8 H 0.1739 0.3477 0.2952  1 Ag 1.81
9 H 0.1739 0.8261 0.2952  1 Ag 1.81
10 H 0.8261 0.6523 0.7048  1 Ag 1.81
11 H 0.3477 0.1739 0.7048  1 Ag 1.81
12 H 0.8261 0.1739 0.7048  1 Ag 1.81

Values from the calculation:
DFT total energy ... -31.05 eV per cell
Density ... 3.74 g/cm³

Entry 6:
The following is a DFT calculation (PBE) of a relaxed Pm2GeCl crystal.

Unit cell a=4.1647 b=4.1647 c=7.7598 alpha=74.43 beta=74.43 gamma=60.00
Closest atoms and distances in Å follow each position.
Positions (direct):
1 Pm 0.0725 0.0725 0.7826  3 Ge 2.87, 3 Cl 3.14
2 Pm 0.2623 0.2623 0.2131  3 Ge 2.89
3 Ge 0.6682 0.6682 0.9955  6 Pm 2.87-2.89
4 Cl 0.4971 0.4971 0.5088  6 Pm 3.14-3.25

Values from the calculation:
ΔE_f (raw) ... -1.1911 eV per atom
Density ... 5.96 g/cm³
Polymorph energy (0 for the lowest one) ... 0.062 eV per atom

In the order shown, the computed N(E_F) values come out to 9.20, 1.03, 11.58, 7.20, 0.00, 2.41 states/eV per cell.